Entry from the Alexandria database: a relaxed Cs2NbSb crystal (PBE).

Results
**Formation energy (no corrections)**: 1050 meV/atom
**DFT total energy**: -2.925 eV/atom
**V**: 689 Å³/cell

Cell: 8.8305 8.8305 8.8305 Å, 90.00 90.00 90.00°
Closest atoms and distances in Å follow each position.
Space group Fm-3m (No. 225)
Symmetry-distinct sites (fractional):
Cs  0.2500  0.2500  0.2500 (multiplicity 8)  4 Nb 3.82, 4 Sb 3.82
Nb  0.0000  0.0000  0.0000 (multiplicity 4)  8 Cs 3.82
Sb  0.0000  0.0000  0.5000 (multiplicity 4)  8 Cs 3.82